[1]
Below is crystalline ZrTiCoTc at its relaxed geometry, with properties calculated at the PBE-GGA level.

Properties
The total energy comes out at -8.87 eV per atom. Its calculated formation energy is -0.39 eV/atom. The space group is F-43m (216).

a = 6.295 Å, b = 6.295 Å, c = 6.295 Å
α = 90.00°, β = 90.00°, γ = 90.00°
Fractional positions:
1 Zr 0.000 0.000 0.000
2 Zr 0.000 0.500 0.500
3 Zr 0.500 0.000 0.500
4 Zr 0.500 0.500 0.000
5 Ti 0.000 0.000 0.500
6 Ti 0.000 0.500 0.000
7 Ti 0.500 0.000 0.000
8 Ti 0.500 0.500 0.500
9 Co 0.250 0.250 0.750
10 Co 0.250 0.750 0.250
11 Co 0.750 0.250 0.250
12 Co 0.750 0.750 0.750
13 Tc 0.250 0.250 0.250
14 Tc 0.250 0.750 0.750
15 Tc 0.750 0.250 0.750
16 Tc 0.750 0.750 0.250


[2]
Below is crystalline Tl2CoTc at its relaxed geometry, with properties calculated at the PBE-GGA level.

Properties
The total energy comes out at -4.56 eV per atom. Its calculated formation energy is 0.99 eV/atom. The energy above the most stable polymorph in this dataset is 495 meV per atom. The space group is F-43m (216).

a = 6.729 Å, b = 6.729 Å, c = 6.729 Å
α = 90.00°, β = 90.00°, γ = 90.00°
Fractional positions:
1 Tl 0.000 0.000 0.000
2 Tl 0.000 0.500 0.500
3 Tl 0.250 0.250 0.250
4 Tl 0.250 0.750 0.750
5 Tl 0.500 0.000 0.500
6 Tl 0.500 0.500 0.000
7 Tl 0.750 0.250 0.750
8 Tl 0.750 0.750 0.250
9 Co 0.000 0.000 0.500
10 Co 0.000 0.500 0.000
11 Co 0.500 0.000 0.000
12 Co 0.500 0.500 0.500
13 Tc 0.250 0.250 0.750
14 Tc 0.250 0.750 0.250
15 Tc 0.750 0.250 0.250
16 Tc 0.750 0.750 0.750


[3]
Below is crystalline Tl2CoTc at its relaxed geometry, with properties calculated at the PBE-GGA level.

Properties
The total energy comes out at -4.54 eV per atom. Its calculated formation energy is 1.01 eV/atom. The energy above the most stable polymorph in this dataset is 512 meV per atom. The space group is I-42d (122).

a = 7.389 Å, b = 7.389 Å, c = 5.814 Å
α = 90.00°, β = 90.00°, γ = 90.00°
Fractional positions:
1 Tl 0.228 0.250 0.125
2 Tl 0.250 0.728 0.375
3 Tl 0.250 0.772 0.875
4 Tl 0.272 0.250 0.625
5 Tl 0.728 0.750 0.625
6 Tl 0.750 0.228 0.875
7 Tl 0.750 0.272 0.375
8 Tl 0.772 0.750 0.125
9 Co 0.000 0.000 0.000
10 Co 0.000 0.500 0.250
11 Co 0.500 0.000 0.750
12 Co 0.500 0.500 0.500
13 Tc 0.000 0.000 0.500
14 Tc 0.000 0.500 0.750
15 Tc 0.500 0.000 0.250
16 Tc 0.500 0.500 0.000


[4]
Below is crystalline Tl2CoTc at its relaxed geometry, with properties calculated at the PBE-GGA level.

Properties
The total energy comes out at -5.06 eV per atom. Its calculated formation energy is 0.49 eV/atom. The energy above the most stable polymorph in this dataset is 0 meV per atom. The space group is P4mm (99).

a = 2.985 Å, b = 2.985 Å, c = 8.891 Å
α = 90.00°, β = 90.00°, γ = 90.00°
Fractional positions:
1 Tl 0.000 0.000 0.000
2 Tl 0.500 0.500 0.358
3 Co 0.000 0.000 0.599
4 Tc 0.500 0.500 0.745


[5]
Below is crystalline Tl2CoTc at its relaxed geometry, with properties calculated at the PBE-GGA level.

Properties
The total energy comes out at -4.72 eV per atom. Its calculated formation energy is 0.83 eV/atom. The energy above the most stable polymorph in this dataset is 336 meV per atom. The space group is Cmmm (65).

a = 3.188 Å, b = 5.233 Å, c = 8.940 Å
α = 90.00°, β = 90.00°, γ = 90.00°
Fractional positions:
1 Tl 0.000 0.000 0.239
2 Tl 0.000 0.000 0.761
3 Tl 0.500 0.500 0.239
4 Tl 0.500 0.500 0.761
5 Co 0.000 0.500 0.000
6 Co 0.500 0.000 0.000
7 Tc 0.000 0.500 0.500
8 Tc 0.500 0.000 0.500


[6]
Below is crystalline Tl2CoTc at its relaxed geometry, with properties calculated at the PBE-GGA level.

Properties
The total energy comes out at -4.79 eV per atom. Its calculated formation energy is 0.76 eV/atom. The energy above the most stable polymorph in this dataset is 267 meV per atom. The space group is P2/m (10).

a = 3.258 Å, b = 3.269 Å, c = 6.591 Å
α = 90.00°, β = 90.07°, γ = 90.00°
Fractional positions:
1 Tl 0.000 0.000 0.238
2 Tl 0.000 0.000 0.762
3 Co 0.500 0.500 0.000
4 Tc 0.500 0.500 0.500


Total magnetization for every record listed, in sequence, given in μB per formula unit: 0.30 3.66 2.99 0.44 2.19 1.91.